Material: HoHfCr2O6
Method: DFT, PBE with a Hubbard U
State: optimized geometry

Calculated values
- Symmetry: No. 1
- Size of the total moment: 7.00 Bohr magnetons per cell
- VASP energy: -8.666 eV/atom

Cell: 5.3195 5.4396 5.8690 Å, 60.31 62.58 60.34°
Site moments in Bohr magnetons follow the coordinates.
Fractional coordinates of all 10 atoms:
O1 0.2229 0.9216 0.2353  -0.02
O2 0.1408 0.3829 0.7520  -0.02
O3 0.3714 0.7364 0.7749  0.01
O4 0.9258 0.6124 0.2325  -0.03
O5 0.7241 0.1435 0.7530  -0.02
O6 0.6263 0.2025 0.2264  0.00
Ho1 0.8004 0.8135 0.5883  0.03
Cr1 0.0125 0.0098 0.9649  3.03
Cr2 0.5256 0.5189 0.4354  3.75
Hf1 0.3119 0.3203 0.0525  0.03